No. 1
A plane-wave DFT calculation with GGA-PBE was carried out for TlN after structural relaxation.

Lattice parameters (Å, degrees): 3.4006 3.4059 12.5805 80.08 82.23 60.05
Element x y z (fractional)
Tl 0.7006 0.7221 0.8767
Tl 0.2994 0.2779 0.1233
N 0.4828 0.5773 0.4570
N 0.5172 0.4227 0.5430

Computed properties:
The energy above the lowest structure with this stoichiometry comes out at 0 meV per atom. Its space group is C2/m (12). The uncorrected formation energy comes out at 0.20 eV/f.u. The total energy is -5.2474 eV per atom.

No. 2
A plane-wave DFT calculation with GGA-PBE was carried out for TlN2 after structural relaxation.

Lattice parameters (Å, degrees): 3.3183 3.3159 9.3463 83.01 82.00 114.13
Element x y z (fractional)
Tl 0.7282 0.3167 0.2376
N 0.4189 0.9440 0.6834
N 0.1943 0.7198 0.7887

Computed properties:
Its space group is P1 (1). The uncorrected formation energy comes out at 0.44 eV/f.u. The total energy is -6.1932 eV per atom.